# SmZrGaRh

SmZrGaRh after structural relaxation (PBE-GGA, Alexandria).

Summary:
The calculation puts the density at 8.30 g/cm3. The total moment comes out at 0.00 μB/cell. The uncorrected energy is -6.391 eV/atom. The calculated formation energy comes out at -0.4798 eV per atom.

Cell lengths 6.9200, 6.9200, 6.9200 Å; angles 90.00, 90.00, 90.00 degrees
With the nearest neighbours (Å) after each atom.
Space group F-43m (No. 216)
Asymmetric unit:
1 Sm 0.0000 0.0000 0.0000 (multiplicity 4)  4 Ga 3.00, 4 Rh 3.00
2 Zr 0.0000 0.0000 0.5000 (multiplicity 4)  4 Rh 3.00, 4 Ga 3.00
3 Ga 0.2500 0.2500 0.2500 (multiplicity 4)  4 Zr 3.00, 4 Sm 3.00
4 Rh 0.2500 0.2500 0.7500 (multiplicity 4)  4 Zr 3.00, 4 Sm 3.00

# GaSn5Rh3

GaSn5Rh3 after structural relaxation (PBE-GGA, Alexandria).

Summary:
The calculation puts the density at 7.56 g/cm3. The total moment comes out at 0.00 μB/cell. The uncorrected energy is -5.320 eV/atom. The calculated formation energy comes out at -0.3095 eV per atom.

Cell lengths 11.3911, 9.1261, 9.6141 Å; angles 90.00, 121.28, 90.00 degrees
With the nearest neighbours (Å) after each atom.
Space group C2/m (No. 12)
Asymmetric unit:
1 Ga 0.0820 0.0000 0.3049 (multiplicity 4)  3 Rh 2.48-2.57
2 Sn 0.0000 0.2831 0.0000 (multiplicity 4)  3 Rh 2.58-2.62
3 Sn 0.0593 0.5000 0.3677 (multiplicity 4)  3 Rh 2.64-2.69
4 Sn 0.1734 0.2161 0.6497 (multiplicity 8)  3 Rh 2.62-2.65
5 Sn 0.2322 0.0000 0.0045 (multiplicity 4)  3 Rh 2.58-2.62
6 Rh 0.0000 0.0000 0.0000 (multiplicity 2)  2 Ga 2.57, 4 Sn 2.58-2.62
7 Rh 0.0000 0.0000 0.5000 (multiplicity 2)  2 Ga 2.49, 4 Sn 2.63
8 Rh 0.1600 0.5000 0.1746 (multiplicity 4)  6 Sn 2.58-2.65
9 Rh 0.1989 0.5000 0.6930 (multiplicity 4)  1 Ga 2.48, 5 Sn 2.59-2.69

# GaSnRh

GaSnRh after structural relaxation (PBE-GGA, Alexandria).

Summary:
The calculation puts the density at 8.25 g/cm3. The total moment comes out at 0.00 μB/cell. The uncorrected energy is -5.067 eV/atom. The calculated formation energy comes out at -0.2730 eV per atom.

Cell lengths 5.0489, 5.0343, 9.2349 Å; angles 90.00, 90.88, 90.00 degrees
With the nearest neighbours (Å) after each atom.
Space group C2/m (No. 12)
Asymmetric unit:
1 Ga 0.2401 0.0000 0.1538 (multiplicity 4)  5 Rh 2.54-2.55
2 Sn 0.2481 0.5000 0.4043 (multiplicity 4)  1 Rh 2.62
3 Rh 0.2389 0.5000 0.1204 (multiplicity 4)  5 Ga 2.54-2.55, 1 Sn 2.62

# Ga2SnRh2

Ga2SnRh2 after structural relaxation (PBE-GGA, Alexandria).

Summary:
The calculation puts the density at 9.22 g/cm3. The energy relative to the lowest polymorph listed for this composition comes out at 1.5 meV/atom. The total moment comes out at 0.00 μB/cell. The uncorrected energy is -5.393 eV/atom. The calculated formation energy comes out at -0.4411 eV per atom.

Cell lengths 3.6118, 3.6118, 12.8158 Å; angles 90.00, 90.00, 90.00 degrees
With the nearest neighbours (Å) after each atom.
Space group I4/mmm (No. 139)
Asymmetric unit:
1 Ga 0.0000 0.5000 0.2500 (multiplicity 4)  4 Ga 2.55, 4 Rh 2.57
2 Sn 0.0000 0.0000 0.0000 (multiplicity 2)  8 Rh 2.90
3 Rh 0.0000 0.0000 0.3927 (multiplicity 4)  4 Ga 2.57, 1 Rh 2.75

The calculation returns the following D(E_F) values, one per record and in order: 15.198; 16.131; 5.271; 3.670 states/eV/cell.